First-principles (meta-GGA SCAN) data for TiCu2Au at its PBEsol-relaxed geometry, as listed in Alexandria via LeMat-Bulk.

Geometry as CIF:
```
data_TiCu2Au
_cell_length_a 4.257
_cell_length_b 4.257
_cell_length_c 4.257
_cell_angle_alpha 60.00
_cell_angle_beta 60.00
_cell_angle_gamma 60.00
_symmetry_space_group_name_H-M 'P 1'
_symmetry_Int_Tables_number 1
_symmetry_space_group_name_Hall 'P 1'
loop_
_atom_site_label
_atom_site_fract_x
_atom_site_fract_y
_atom_site_fract_z
Cu1 0.250 0.250 0.250
Cu2 0.750 0.750 0.750
Ti1 0.000 0.000 0.000
Au1 0.500 0.500 0.500
```

Results
ΔE_f   -1.10 eV per formula unit
Density of states at the Fermi level   2.2 states/eV per cell